[1]
The following is a DFT calculation (PBE) of a relaxed structure of KCu9Ge4.

Cell and atoms, written as CIF:
```
data_KCu9Ge4
_chemical_formula_sum 'K4 Cu36 Ge16'
_cell_length_a 8.329
_cell_length_b 8.329
_cell_length_c 12.087
_cell_angle_alpha 90.00
_cell_angle_beta 90.00
_cell_angle_gamma 90.00
_symmetry_space_group_name_H-M 'I 4/m c m'
_symmetry_Int_Tables_number 140
_symmetry_space_group_name_Hall '-I 4 2c'
loop_
_atom_site_label
_atom_site_type_symbol
_atom_site_fract_x
_atom_site_fract_y
_atom_site_fract_z
K1 K 0.000 0.000 0.250
Cu1 Cu 0.000 0.500 0.000
Cu2 Cu 0.062 0.205 0.000
Cu3 Cu 0.117 0.383 0.179
Ge1 Ge 0.180 0.320 0.379
```

---

[2]
The following is a DFT calculation (PBE) of a relaxed structure of KCu2Ge2.

Computed properties:
Relative energy among the computed polymorphs: 0.00 eV/f.u.

Cell and atoms, written as CIF:
```
data_KCu2Ge2
_chemical_formula_sum 'K2 Cu4 Ge4'
_cell_length_a 4.363
_cell_length_b 4.363
_cell_length_c 10.329
_cell_angle_alpha 90.00
_cell_angle_beta 90.00
_cell_angle_gamma 90.00
_symmetry_space_group_name_H-M 'I 4/m m m'
_symmetry_Int_Tables_number 139
_symmetry_space_group_name_Hall '-I 4 2'
loop_
_atom_site_label
_atom_site_type_symbol
_atom_site_fract_x
_atom_site_fract_y
_atom_site_fract_z
K1 K 0.000 0.000 0.000
Cu1 Cu 0.000 0.500 0.250
Ge1 Ge 0.000 0.000 0.366
```

---

[3]
The following is a DFT calculation (PBE) of a relaxed structure of KCu2Ge2.

Computed properties:
Relative energy among the computed polymorphs: 0.60 eV/f.u.

Cell and atoms, written as CIF:
```
data_KCu2Ge2
_chemical_formula_sum 'K2 Cu4 Ge4'
_cell_length_a 8.136
_cell_length_b 8.136
_cell_length_c 2.746
_cell_angle_alpha 90.00
_cell_angle_beta 90.00
_cell_angle_gamma 90.00
_symmetry_space_group_name_H-M 'P 4/m b m'
_symmetry_Int_Tables_number 127
_symmetry_space_group_name_Hall '-P 4 2ab'
loop_
_atom_site_label
_atom_site_type_symbol
_atom_site_fract_x
_atom_site_fract_y
_atom_site_fract_z
K1 K 0.000 0.000 0.000
Cu1 Cu 0.136 0.364 0.000
Ge1 Ge 0.144 0.644 0.500
```

---

[4]
The following is a DFT calculation (PBE) of a relaxed structure of KCu2Ge2.

Computed properties:
Relative energy among the computed polymorphs: 0.45 eV/f.u.

Cell and atoms, written as CIF:
```
data_KCu2Ge2
_chemical_formula_sum 'K2 Cu4 Ge4'
_cell_length_a 4.408
_cell_length_b 4.408
_cell_length_c 10.781
_cell_angle_alpha 90.00
_cell_angle_beta 90.00
_cell_angle_gamma 90.00
_symmetry_space_group_name_H-M 'I 4/m m m'
_symmetry_Int_Tables_number 139
_symmetry_space_group_name_Hall '-I 4 2'
loop_
_atom_site_label
_atom_site_type_symbol
_atom_site_fract_x
_atom_site_fract_y
_atom_site_fract_z
K1 K 0.000 0.000 0.000
Cu1 Cu 0.000 0.000 0.359
Ge1 Ge 0.000 0.500 0.250
```

---

| no. | energy of formation (kJ/mol of formula units) | ρ (g/cm³) | total moment (μB/f.u.) |
| --- | --- | --- | --- |
| 1 | -59 | 7.14 | 0.0 |
| 2 | 3 | 5.26 | 0.0 |
| 3 | 61 | 5.69 | 0.0 |
| 4 | 46 | 4.94 | 0.0 |